An optimized crystal structure of RbMoI2O. Source: Alexandria via LeMat-Bulk, functional GGA+U. Values from VASP.

Computed properties:
- space group = P4/mmm, No. 123
- E above lowest polymorph (eV per formula unit) = 0.00
- DFT total energy (eV per atom) = -4.155

```
&SYSTEM
  ibrav = 0, nat = 5, ntyp = 4
/
ATOMIC_SPECIES
Rb 85.47 Rb.upf
Mo 95.94 Mo.upf
I 126.90 I.upf
O 16.00 O.upf
CELL_PARAMETERS angstrom
6.200 0.000 0.000
0.000 6.200 0.000
0.000 0.000 3.999
ATOMIC_POSITIONS angstrom
Rb 0.000 0.000 0.000
Mo 3.100 3.100 1.999
I 0.000 3.100 1.999
I 3.100 0.000 1.999
O 3.100 3.100 0.000
```